Compound: YHg2Te
Source: Alexandria
Functional: PBE
Structure: optimized geometry

Geometry as POSCAR:
```
YHg2Te
1.0
-4.3192 4.3192 3.0576
4.3192 -4.3192 3.0576
4.3192 4.3192 -3.0576
Y Hg Te
2 4 2
Direct
0.0000 0.0000 0.0000
0.7500 0.2500 0.5000
0.1212 0.6250 0.9962
0.3750 0.3712 0.4962
0.6288 0.1250 0.0038
0.8750 0.8788 0.5038
0.2500 0.7500 0.5000
0.5000 0.5000 0.0000
```

Calculated values
Its volume is 28.5 Å³ per atom. As for the formation energy from raw total energies: -0.457 eV/atom. As for the crystal system: tetragonal. As for the symmetry: I-42d, No. 122.